Record 1
# PBEsol ZnCuAg2, relaxed
data_ZnCuAg2
_space_group_name_H-M_alt 'C m m m'
_space_group_IT_number 65
_space_group_name_Hall '-C 2 2'
_cell_length_a 5.613
_cell_length_b 7.287
_cell_length_c 2.854
_cell_angle_alpha 90.00
_cell_angle_beta 90.00
_cell_angle_gamma 90.00
loop_
_atom_site_label
_atom_site_type_symbol
_atom_site_fract_x
_atom_site_fract_y
_atom_site_fract_z
Zn1 Zn 0.000 0.000 0.000
Cu1 Cu 0.000 0.500 0.000
Ag1 Ag 0.250 0.250 0.500
# density: 9.81 g/cm3
# ΔE_f: 0.012 eV per atom

=====

Record 2
# PBEsol Zn2CuAg, relaxed
data_Zn2CuAg
_space_group_name_H-M_alt 'R -3 m'
_space_group_IT_number 166
_space_group_name_Hall '-R 3 2"'
_cell_length_a 2.7473
_cell_length_b 2.7473
_cell_length_c 25.6131
_cell_angle_alpha 90.00
_cell_angle_beta 90.00
_cell_angle_gamma 120.00
loop_
_atom_site_label
_atom_site_type_symbol
_atom_site_fract_x
_atom_site_fract_y
_atom_site_fract_z
Zn1 Zn 0.0000 0.0000 0.2447
Cu1 Cu 0.0000 0.0000 0.5000
Ag1 Ag 0.0000 0.0000 0.0000
# density: 8.99 g/cm3
# ΔE_f: -0.031 eV per atom